This record from the Open Quantum Materials Database describes an optimized crystal structure of Li2NdNiP2. The functional is PBE.

The structure in extended XYZ format:
```
6
Lattice="-2.1622 -3.2969 0.8409 3.9862 -0.2848 -0.5302 0.9234 1.0248 6.3919" Properties=species:S:1:pos:R:3 pbc="T T T"
Nd 0.0000 0.0000 0.0000
Ni 0.4617 0.5124 3.1960
Li 0.2152 -1.9289 2.6544
P 0.5553 -1.5514 5.0087
Li 2.5321 -0.6281 4.0483
P 2.1920 -1.0055 1.6940
```

This record from the Open Quantum Materials Database describes an optimized crystal structure of TbTlP2Se6. The functional is PBE.

The structure in extended XYZ format:
```
20
Lattice="6.8616 0.0000 0.0000 0.0000 7.6570 0.0000 -0.2435 0.0000 10.4493" Properties=species:S:1:pos:R:3 pbc="T T T"
Tb 4.7864 3.8473 5.2489
P 5.4279 7.5929 7.0227
Se 5.8671 6.6278 5.0345
Tl 5.5943 2.1480 0.0836
Se 3.8165 1.4920 3.4707
Se 2.8245 5.2920 3.4793
Tb 1.8317 0.0188 5.2004
Se 6.1642 4.4979 2.5746
Se 0.6309 0.4590 2.4419
Se 0.4539 0.6694 7.8747
P 4.5481 5.9210 8.2734
Se 2.3742 2.8099 0.1654
Tl 1.0238 5.9765 10.3658
P 1.1902 3.7644 3.4266
Se 3.7936 1.4635 6.9701
Se 4.2438 6.6385 10.2839
Se 5.9872 4.2875 8.0074
Se 2.8016 5.3205 6.9786
P 2.0700 2.0925 2.1759
Se 0.7510 2.7993 5.4149
```

This record from the Open Quantum Materials Database describes an optimized crystal structure of BeFeOs. The functional is PBE.

The structure in extended XYZ format:
```
3
Lattice="0.0000 2.6588 2.6588 2.6588 0.0000 2.6588 2.6588 2.6588 0.0000" Properties=species:S:1:pos:R:3 pbc="T T T"
Os 3.9882 3.9882 3.9882
Be 1.3294 1.3294 1.3294
Fe 0.0000 0.0000 0.0000
```

polymorph energy (0 for the lowest one)	0.0000	eV per atom

This record from the Open Quantum Materials Database describes an optimized crystal structure of InNi9. The functional is PBE.

The structure in extended XYZ format:
```
20
Lattice="-2.3290 1.0759 0.0585 -0.6139 -1.4928 3.0174 14.6092 30.6386 18.1299" Properties=species:S:1:pos:R:3 pbc="T T T"
Ni 9.4054 19.7252 11.6721
Ni 8.3988 20.4916 13.7869
Ni 4.6722 12.6760 9.1621
Ni 8.4656 17.7541 10.5058
In 2.6897 5.6408 3.3379
Ni 6.6082 13.8588 8.2008
Ni 3.7323 10.7049 7.9958
Ni 1.8521 6.7616 5.6624
Ni 11.2857 23.6685 14.0055
Ni 2.7899 8.7284 6.8262
Ni 6.5296 16.5713 11.4671
In 10.4481 24.7893 16.3300
Ni 7.5360 15.8046 9.3522
Ni 7.4599 18.5224 12.6217
Ni 3.7907 7.9499 4.7043
Ni 5.6017 14.6255 10.3157
Ni 5.6779 11.9077 7.0462
Ni 9.3470 22.4802 14.9636
Ni 4.7389 9.9385 5.8810
Ni 10.3479 21.7018 12.8417
```

polymorph energy (0 for the lowest one)	0.0000	eV per atom

This record from the Open Quantum Materials Database describes an optimized crystal structure of Ba2Tm. The functional is PBE.

The structure in extended XYZ format:
```
6
Lattice="7.3040 -0.3300 8.4010 10.9068 0.9006 -2.0652 5.4875 9.2239 2.9734" Properties=species:S:1:pos:R:3 pbc="T T T"
Ba 14.3402 4.1232 2.4584
Ba 11.6306 8.2849 4.9777
Tm 11.8491 4.8973 4.6546
Tm 5.9245 2.4486 2.3273
Ba 12.5389 3.5080 7.6915
Ba 8.8869 3.6729 3.4910
```

polymorph energy (0 for the lowest one)	1.2890	eV per atom

This record from the Open Quantum Materials Database describes an optimized crystal structure of Hf2ScSi4Pd4. The functional is PBE.

The structure in extended XYZ format:
```
11
Lattice="4.6131 6.1060 -0.3680 -2.8868 6.7837 2.0848 2.0178 -7.1791 1.7574" Properties=species:S:1:pos:R:3 pbc="T T T"
Pd 2.5324 3.9031 0.9744
Si 1.6802 -0.5399 2.3642
Sc 0.0000 0.0000 0.0000
Hf 3.5239 1.0204 0.9020
Pd 0.6161 -2.6393 1.9075
Pd 3.1279 8.3499 1.5667
Pd 1.2116 1.8075 2.4998
Hf 0.2201 4.6902 2.5721
Si 0.3747 2.7981 0.3727
Si 1.3515 10.0916 1.3441
Si 2.0639 6.2505 1.1100
```

This record from the Open Quantum Materials Database describes an optimized crystal structure of ZrHgB4. The functional is PBE.

The structure in extended XYZ format:
```
6
Lattice="-4.4206 -2.0327 1.3431 -1.9106 3.0708 3.5209 1.3428 -0.2680 -4.8582" Properties=species:S:1:pos:R:3 pbc="T T T"
B -3.5702 -1.3149 -1.2399
B -2.4783 -0.4987 0.0072
Zr -3.1656 0.5191 2.4320
B -1.4182 2.0850 1.2457
Hg 0.0000 0.0000 0.0000
B -2.5101 1.2688 -0.0013
```

polymorph energy (0 for the lowest one)	0.0000	eV per atom

This record from the Open Quantum Materials Database describes an optimized crystal structure of Cs2Pd2O3. The functional is PBE.

The structure in extended XYZ format:
```
7
Lattice="3.2637 1.8843 5.0304 -3.2637 1.8843 5.0304 0.0000 -3.7685 5.0304" Properties=species:S:1:pos:R:3 pbc="T T T"
Pd 0.0000 0.0000 3.1083
O 0.0000 -1.8843 2.5152
Cs 0.0000 0.0000 7.5456
O -1.6318 0.9421 2.5152
Pd 0.0000 0.0000 11.9828
Cs 0.0000 0.0000 0.0000
O 1.6318 0.9421 2.5152
```

polymorph energy (0 for the lowest one)	0.0000	eV per atom

This record from the Open Quantum Materials Database describes an optimized crystal structure of PmTmP2. The functional is PBE.

The structure in extended XYZ format:
```
4
Lattice="4.0437 0.0000 0.0000 0.0000 4.0437 0.0000 0.0000 0.0000 5.7181" Properties=species:S:1:pos:R:3 pbc="T T T"
Tm 0.0000 0.0000 0.0000
P 2.0219 2.0219 0.0000
Pm 2.0219 2.0219 2.8591
P 0.0000 0.0000 2.8591
```

This record from the Open Quantum Materials Database describes an optimized crystal structure of YZnOs. The functional is PBE.

The structure in extended XYZ format:
```
3
Lattice="-4.0517 -0.6702 2.0609 -3.8207 1.8088 -1.8010 -3.1414 -2.7334 -1.9425" Properties=species:S:1:pos:R:3 pbc="T T T"
Zn -8.2603 -1.1961 -1.2620
Y 0.0000 0.0000 0.0000
Os -2.7535 -0.3987 -0.4207
```

formation energy from the elements	0.871	eV per atom

This record from the Open Quantum Materials Database describes an optimized crystal structure of Pr2IBr2N. The functional is PBE.

The structure in extended XYZ format:
```
12
Lattice="9.1042 -2.0692 0.0000 9.1042 2.0692 0.0000 -6.2679 0.0000 10.1554" Properties=species:S:1:pos:R:3 pbc="T T T"
I 3.2009 0.0000 4.9210
Pr 7.3869 0.0000 0.4360
Pr 4.5537 0.0000 9.7194
Br 3.2515 0.0000 1.1454
Br 8.6891 0.0000 9.0100
Br -3.8961 0.0000 7.6412
Br 15.8367 0.0000 2.5142
Pr 11.2710 0.0000 7.3336
I 8.7397 0.0000 5.2344
N 9.4841 0.0000 1.5113
N 2.4564 0.0000 8.6441
Pr 0.6696 0.0000 2.8218
```

polymorph energy (0 for the lowest one)	0.0000	eV per atom

This record from the Open Quantum Materials Database describes an optimized crystal structure of HfTcAs. The functional is PBE.

The structure in extended XYZ format:
```
3
Lattice="1.9112 -3.4123 1.8612 -1.1039 -1.1744 4.0203 -2.2412 -3.6487 0.6520" Properties=species:S:1:pos:R:3 pbc="T T T"
Tc 0.0000 0.0000 0.0000
Hf -1.0754 -6.1765 4.9001
As -0.3585 -2.0588 1.6334
```

polymorph energy (0 for the lowest one)	0.0000	eV per atom

Record order is preserved below.
VASP energy: -4.880 -4.510 -7.548 -5.224 -1.242 -7.116 -5.936 -4.362 -6.567 -5.447 -5.479 -8.467 eV per atom